# CuSnGe2As

Crystalline CuSnGe2As at its relaxed geometry (GGA-PBE, the Alexandria database).

Results
The value obtained for the mass density is 5.6 Mg/m³. Its magnetic moment is 0.000 μB/f.u. Its space-group type is P4/mmm, No. 123.

POSCAR file:
```
CuSnGe2As
1.0
-2.756 4.357 -0.570
-1.041 -1.198 -4.121
-4.220 -2.438 1.775
As Cu Ge Sn
1 1 2 1
Direct
0.000 0.000 0.000
0.000 0.500 0.000
0.500 0.000 0.000
0.000 0.000 0.500
0.500 0.500 0.500
```

# CuGeTeAs

Crystalline CuGeTeAs at its relaxed geometry (GGA-PBE, the Alexandria database).

Results
The value obtained for the mass density is 5.5 Mg/m³. Its magnetic moment is 0.000 μB/f.u. Its space-group type is Cm, No. 8.

POSCAR file:
```
CuGeTeAs
1.0
-3.428 0.437 -2.314
2.288 -3.460 -0.310
-2.161 -2.020 6.566
As Ge Te Cu
1 1 1 1
Direct
0.444 0.606 0.050
0.207 0.987 0.194
0.468 0.118 0.586
0.210 0.490 0.699
```

Number 1: total energy -19.44 eV per cell. Number 2: total energy -16.68 eV per cell.